Entry 1:
! LaAlSe2, relaxed, DFT GGA-PBE; values from VASP
! **Formation energy (no corrections)**: -0.98 eV/atom
! **ΔE to the lowest computed polymorph**: 0.4080 eV/atom
! **Calculated density**: 4.24 Mg/m³
! **E**: -4.886 eV per atom
! **Crystal system**: trigonal
&SYSTEM
  ibrav = 0, nat = 4, ntyp = 3
/
ATOMIC_SPECIES
La 138.91 La.upf
Al 26.98 Al.upf
Se 78.96 Se.upf
ATOMIC_POSITIONS crystal
La 0.7528 0.7528 0.7528
Al 0.5106 0.5106 0.5106
Se 0.2128 0.2128 0.2128
Se 0.0238 0.0238 0.0238
CELL_PARAMETERS angstrom
-6.4997 -4.6418 -2.3866
-4.3282 -7.1151 0.3619
-7.0128 -4.1148 1.8379



Entry 2:
! La2AlSe5, relaxed, DFT GGA-PBE; values from VASP
! **Formation energy (no corrections)**: -1.31 eV/atom
! **Calculated density**: 4.43 Mg/m³
! **E**: -5.183 eV per atom
! **Crystal system**: orthorhombic
&SYSTEM
  ibrav = 0, nat = 16, ntyp = 3
/
ATOMIC_SPECIES
La 138.91 La.upf
Se 78.96 Se.upf
Al 26.98 Al.upf
ATOMIC_POSITIONS crystal
La 0.1532 0.3064 0.5704
La 0.8468 0.6936 0.4296
La 0.8468 0.6936 0.0704
La 0.1532 0.3064 0.9296
Se 0.7115 0.4230 0.2500
Se 0.9567 0.9135 0.6326
Se 0.3013 0.6026 0.4009
Se 0.6987 0.3974 0.5991
Se 0.3013 0.6026 0.0991
Se 0.0433 0.0865 0.3674
Se 0.2885 0.5770 0.7500
Se 0.0433 0.0865 0.1326
Se 0.9567 0.9135 0.8674
Se 0.6987 0.3974 0.9009
Al 0.1896 0.3793 0.2500
Al 0.8104 0.6207 0.7500
CELL_PARAMETERS angstrom
-3.9318 4.0292 1.2864
-2.5744 -4.9009 -5.4798
-4.7453 -7.4776 8.9170



Entry 3:
! LaAlSe2, relaxed, DFT GGA-PBE; values from VASP
! **Formation energy (no corrections)**: -0.98 eV/atom
! **ΔE to the lowest computed polymorph**: 0.4079 eV/atom
! **Calculated density**: 3.72 Mg/m³
! **E**: -4.886 eV per atom
! **Crystal system**: trigonal
&SYSTEM
  ibrav = 0, nat = 4, ntyp = 3
/
ATOMIC_SPECIES
Se 78.96 Se.upf
Al 26.98 Al.upf
La 138.91 La.upf
ATOMIC_POSITIONS crystal
Se 0.8960 0.8960 0.8960
Se 0.1040 0.1040 0.1040
Al 0.0000 0.0000 0.0000
La 0.5000 0.5000 0.5000
CELL_PARAMETERS angstrom
2.5437 0.0000 8.5979
-1.2718 2.2029 8.5979
-1.2718 -2.2029 8.5979



Entry 4:
! LaAlSe, relaxed, DFT GGA-PBE; values from VASP
! **Formation energy (no corrections)**: -1.07 eV/atom
! **ΔE to the lowest computed polymorph**: 0.0000 eV/atom
! **Calculated density**: 4.77 Mg/m³
! **E**: -5.119 eV per atom
! **Crystal system**: trigonal
&SYSTEM
  ibrav = 0, nat = 6, ntyp = 3
/
ATOMIC_SPECIES
Se 78.96 Se.upf
La 138.91 La.upf
Al 26.98 Al.upf
ATOMIC_POSITIONS crystal
Se 0.2922 0.2922 0.1235
Se 0.7078 0.7078 0.8765
La 0.5871 0.5871 0.2387
La 0.4129 0.4129 0.7613
Al 0.1646 0.1646 0.5063
Al 0.8354 0.8354 0.4937
CELL_PARAMETERS angstrom
4.6936 0.0000 0.0000
2.3468 4.0647 0.0000
2.3468 1.3549 8.9415



Question: What is the formation energy (no corrections) in the third record?
Answer: -0.98 eV/atom



Question: Among the records above, which one has the highest calculated density?
Answer: LaAlSe